Record 1
The following is a GGA-PBE calculation of a relaxed structure of Ba2BeTe, from Alexandria via LeMat-Bulk.

Computed properties:
The value obtained for the spin magnetization is 0.03 Bohr magnetons per cell. The calculated total energy comes out at -40.9 eV for the cell shown. The value obtained for the mass density is 4.99 g cm⁻³. As for the density of states at the Fermi level: 1.396 states/eV/atom. The relative energy among the computed polymorphs is 3.03 eV/f.u. As for the energy relative to the elements, uncorrected: 12.0 kJ/mol of atoms.

a = 8.1788 Å, b = 8.1788 Å, c = 8.1788 Å
α = 90.00°, β = 90.00°, γ = 90.00°
Positions (direct):
Ba  0.0000  0.0000  0.0000
Ba  0.0000  0.5000  0.5000
Ba  0.2500  0.2500  0.2500
Ba  0.2500  0.7500  0.7500
Ba  0.5000  0.0000  0.5000
Ba  0.5000  0.5000  0.0000
Ba  0.7500  0.2500  0.7500
Ba  0.7500  0.7500  0.2500
Be  0.2500  0.2500  0.7500
Be  0.2500  0.7500  0.2500
Be  0.7500  0.2500  0.2500
Be  0.7500  0.7500  0.7500
Te  0.0000  0.0000  0.5000
Te  0.0000  0.5000  0.0000
Te  0.5000  0.0000  0.0000
Te  0.5000  0.5000  0.5000

***

Record 2
The following is a GGA-PBE calculation of a relaxed structure of BaBeTe, from Alexandria via LeMat-Bulk.

Computed properties:
The value obtained for the spin magnetization is 0.00 Bohr magnetons per cell. The calculated total energy comes out at -34.2 eV for the cell shown. The value obtained for the mass density is 3.59 g cm⁻³. As for the density of states at the Fermi level: 0.398 states/eV/atom. The relative energy among the computed polymorphs is 1.55 eV/f.u. As for the energy relative to the elements, uncorrected: 7.8 kJ/mol of atoms.

a = 7.9750 Å, b = 7.9750 Å, c = 7.9750 Å
α = 90.00°, β = 90.00°, γ = 90.00°
Positions (direct):
Ba  0.0000  0.0000  0.0000
Ba  0.0000  0.5000  0.5000
Ba  0.5000  0.0000  0.5000
Ba  0.5000  0.5000  0.0000
Be  0.0000  0.0000  0.5000
Be  0.0000  0.5000  0.0000
Be  0.5000  0.0000  0.0000
Be  0.5000  0.5000  0.5000
Te  0.2500  0.2500  0.7500
Te  0.2500  0.7500  0.2500
Te  0.7500  0.2500  0.2500
Te  0.7500  0.7500  0.7500

***

Record 3
The following is a GGA-PBE calculation of a relaxed structure of BaBeTe2, from Alexandria via LeMat-Bulk.

Computed properties:
The value obtained for the spin magnetization is 0.00 Bohr magnetons per cell. The calculated total energy comes out at -30.9 eV for the cell shown. The value obtained for the mass density is 4.48 g cm⁻³. As for the energy relative to the elements, uncorrected: -85.2 kJ/mol of atoms.

a = 13.4482 Å, b = 4.2366 Å, c = 5.2553 Å
α = 90.00°, β = 96.40°, γ = 90.00°
Positions (direct):
Ba  0.0000  0.0000  0.0000
Ba  0.5000  0.5000  0.0000
Be  0.2841  0.0000  0.2423
Be  0.7841  0.5000  0.2423
Te  0.2178  0.5000  0.0592
Te  0.4402  0.0000  0.4835
Te  0.7178  0.0000  0.0592
Te  0.9402  0.5000  0.4835